## Cs2Cd2Hg (PBE)

Data for Cs2Cd2Hg after structural relaxation.

Summary:
ΔH_f (0 K)	-0.015	eV/atom
Fermi-level density of states	3.33	states/eV/cell
V	50.8	A^3/atom
excess energy over the best structure of this formula in the dataset	0.44	eV/f.u.
symmetry	I4/mmm, No. 139

Cell: 6.964 6.964 6.964 Å, 114.72 114.72 99.41°
Sites, in units of the cell vectors:
Cs (0.250, 0.750, 0.500)
Cs (0.750, 0.250, 0.500)
Cd (0.163, 0.163, 0.000)
Cd (0.837, 0.837, 0.000)
Hg (0.500, 0.500, 0.000)